NiSe2NO | PBE+U | relaxed

Cell and atoms, written as extended XYZ:
```
5
Lattice="4.422 0.000 0.000 0.000 4.422 0.000 0.000 0.000 3.841" Properties=species:S:1:pos:R:3 pbc="T T T"
Ni 0.000 0.000 0.000
Se 0.000 2.211 1.921
Se 2.211 0.000 1.921
N 2.211 2.211 0.000
O 2.211 2.211 1.921
```

Values from the calculation:
Crystal system ... tetragonal
Distance to the lowest polymorph of the same formula ... 0.137 eV per atom